No. 1
Here is a relaxed Ag3O crystal from Alexandria via LeMat-Bulk. Energies are from PBE.

Values from the calculation:
As for the uncorrected energy: -27.00 eV/cell. The calculated density comes out at 8.94 Mg/m³. The value obtained for the formation energy from raw total energies is 0.00 eV per atom. For the energy above the most stable polymorph in this dataset, the calculation gives 38 meV per atom.

Geometry as CIF:
```
data_Ag3O
_chemical_formula_sum 'Ag6 O2'
_cell_length_a 6.217
_cell_length_b 3.021
_cell_length_c 6.917
_cell_angle_alpha 90.00
_cell_angle_beta 103.68
_cell_angle_gamma 90.00
_symmetry_space_group_name_H-M 'P 1 21/m 1'
_symmetry_Int_Tables_number 11
loop_
_symmetry_equiv_pos_as_xyz
'x,y,z'
'-x,-y,-z'
'-x,y+1/2,-z'
'x,-y+1/2,z'
loop_
_atom_site_label
_atom_site_fract_x
_atom_site_fract_y
_atom_site_fract_z
_atom_site_occupancy
Ag1 0.086 0.250 0.362 1
Ag2 0.212 0.250 0.950 1
Ag3 0.394 0.750 0.670 1
O1 0.309 0.750 0.219 1
```

***

No. 2
Here is a relaxed PRh2Se crystal from Alexandria via LeMat-Bulk. Energies are from PBE.

Values from the calculation:
As for the uncorrected energy: -73.22 eV/cell. The calculated density comes out at 7.30 Mg/m³. The value obtained for the formation energy from raw total energies is -0.20 eV per atom.

Geometry as CIF:
```
data_PRh2Se
_chemical_formula_sum 'P3 Rh6 Se3'
_cell_length_a 3.3654
_cell_length_b 3.3654
_cell_length_c 21.9815
_cell_angle_alpha 90.00
_cell_angle_beta 90.00
_cell_angle_gamma 120.00
_symmetry_space_group_name_H-M 'R 3 m'
_symmetry_Int_Tables_number 160
_symmetry_space_group_name_Hall 'R 3 -2"'
loop_
_atom_site_label
_atom_site_fract_x
_atom_site_fract_y
_atom_site_fract_z
_atom_site_occupancy
P1 0.0000 0.0000 0.0000 1
Rh1 0.0000 0.0000 0.4880 1
Rh2 0.0000 0.0000 0.7164 1
Se1 0.0000 0.0000 0.2165 1
```

***

No. 3
Here is a relaxed LaEr2Sc5 crystal from Alexandria via LeMat-Bulk. Energies are from PBE.

Values from the calculation:
As for the uncorrected energy: -90.43 eV/cell. The formation energy from the elements comes out at 0.062 eV/atom. The calculated density comes out at 5.34 Mg/m³.

Geometry as CIF:
```
data_LaEr2Sc5
_chemical_formula_sum 'La2 Er4 Sc10'
_cell_length_a 6.837
_cell_length_b 6.837
_cell_length_c 9.289
_cell_angle_alpha 90.00
_cell_angle_beta 90.00
_cell_angle_gamma 90.00
_symmetry_space_group_name_H-M 'I 4/m m m'
_symmetry_Int_Tables_number 139
_symmetry_space_group_name_Hall '-I 4 2'
loop_
_atom_site_label
_atom_site_fract_x
_atom_site_fract_y
_atom_site_fract_z
_atom_site_occupancy
La1 0.000 0.000 0.000 1
Er1 0.000 0.500 0.000 1
Sc1 0.000 0.000 0.500 1
Sc2 0.250 0.250 0.250 1
```

***

No. 4
Here is a relaxed BeNbCr3 crystal from Alexandria via LeMat-Bulk. Energies are from PBE.

Values from the calculation:
As for the uncorrected energy: -33.30 eV/cell. The formation energy from the elements comes out at 1.873 eV/atom. The calculated density comes out at 4.22 Mg/m³. For the energy above the most stable polymorph in this dataset, the calculation gives 1165 meV per atom.

Geometry as CIF:
```
data_BeNbCr3
_chemical_formula_sum 'Be1 Nb1 Cr3'
_cell_length_a 4.666
_cell_length_b 4.666
_cell_length_c 4.666
_cell_angle_alpha 90.00
_cell_angle_beta 90.00
_cell_angle_gamma 90.00
_symmetry_space_group_name_H-M 'P m -3 m'
_symmetry_Int_Tables_number 221
_symmetry_space_group_name_Hall '-P 4 2 3'
loop_
_atom_site_label
_atom_site_fract_x
_atom_site_fract_y
_atom_site_fract_z
_atom_site_occupancy
Be1 0.000 0.000 0.000 1
Nb1 0.500 0.500 0.500 1
Cr1 0.000 0.500 0.500 1
```

***

No. 5
Here is a relaxed Zn7Ag crystal from Alexandria via LeMat-Bulk. Energies are from PBE.

Values from the calculation:
As for the uncorrected energy: -46.94 eV/cell. The formation energy from the elements comes out at 0.004 eV/atom. The calculated density comes out at 7.63 Mg/m³.

Geometry as CIF:
```
data_Zn7Ag
_chemical_formula_sum 'Zn28 Ag4'
_cell_length_a 7.896
_cell_length_b 7.896
_cell_length_c 7.896
_cell_angle_alpha 90.00
_cell_angle_beta 90.00
_cell_angle_gamma 90.00
_symmetry_space_group_name_H-M 'F m -3 m'
_symmetry_Int_Tables_number 225
_symmetry_space_group_name_Hall '-F 4 2 3'
loop_
_atom_site_label
_atom_site_fract_x
_atom_site_fract_y
_atom_site_fract_z
_atom_site_occupancy
Zn1 0.000 0.000 0.000 1
Zn2 0.000 0.250 0.250 1
Ag1 0.000 0.000 0.500 1
```

***

No. 6
Here is a relaxed ReH12N3Cl4O3 crystal from Alexandria via LeMat-Bulk. Energies are from PBE.

Values from the calculation:
As for the uncorrected energy: -235.94 eV/cell. The calculated density comes out at 2.46 Mg/m³.

Geometry as CIF:
```
data_ReH12N3Cl4O3
_chemical_formula_sum 'Re2 H24 N6 Cl8 O6'
_cell_length_a 9.2608
_cell_length_b 9.2608
_cell_length_c 7.8133
_cell_angle_alpha 90.00
_cell_angle_beta 90.00
_cell_angle_gamma 120.00
_symmetry_space_group_name_H-M 'P 63 m c'
_symmetry_Int_Tables_number 186
_symmetry_space_group_name_Hall 'P 6c -2c'
loop_
_atom_site_label
_atom_site_fract_x
_atom_site_fract_y
_atom_site_fract_z
_atom_site_occupancy
Re1 0.3333 0.6667 0.0000 1
H1 0.0873 0.3576 0.3878 1
H2 0.1092 0.2183 0.5139 1
H3 0.2110 0.4221 0.5627 1
N1 0.1695 0.3391 0.4615 1
Cl1 0.0000 0.0000 0.1648 1
Cl2 0.0957 0.5478 0.7770 1
O1 0.2348 0.4697 0.0933 1
```

***

No. 7
Here is a relaxed ReN2 crystal from Alexandria via LeMat-Bulk. Energies are from PBE.

Values from the calculation:
As for the uncorrected energy: -114.23 eV/cell. The calculated density comes out at 12.78 Mg/m³. The value obtained for the formation energy from raw total energies is 0.18 eV per atom.

Geometry as CIF:
```
data_ReN2
_chemical_formula_sum 'Re4 N8'
_cell_length_a 6.834
_cell_length_b 2.838
_cell_length_c 5.771
_cell_angle_alpha 90.00
_cell_angle_beta 95.98
_cell_angle_gamma 90.00
_symmetry_space_group_name_H-M 'C 1 2/m 1'
_symmetry_Int_Tables_number 12
loop_
_symmetry_equiv_pos_as_xyz
'x,y,z'
'-x,-y,-z'
'-x,y,-z'
'x,-y,z'
'x+1/2,y+1/2,z'
'-x+1/2,-y+1/2,-z'
'-x+1/2,y+1/2,-z'
'x+1/2,-y+1/2,z'
loop_
_atom_site_label
_atom_site_fract_x
_atom_site_fract_y
_atom_site_fract_z
_atom_site_occupancy
Re1 0.175 0.000 0.231 1
N1 0.097 0.500 0.471 1
N2 0.127 0.000 0.865 1
```

***

No. 8
Here is a relaxed NdDy3Tl4 crystal from Alexandria via LeMat-Bulk. Energies are from PBE.

Values from the calculation:
As for the uncorrected energy: -59.58 eV/cell. The formation energy from the elements comes out at -0.219 eV/atom. The calculated density comes out at 10.06 Mg/m³. For the energy above the most stable polymorph in this dataset, the calculation gives 134 meV per atom.

Geometry as CIF:
```
data_NdDy3Tl4
_chemical_formula_sum 'Nd2 Dy6 Tl8'
_cell_length_a 3.522
_cell_length_b 7.266
_cell_length_c 18.687
_cell_angle_alpha 90.00
_cell_angle_beta 90.00
_cell_angle_gamma 90.00
_symmetry_space_group_name_H-M 'I m m m'
_symmetry_Int_Tables_number 71
_symmetry_space_group_name_Hall '-I 2 2'
loop_
_atom_site_label
_atom_site_fract_x
_atom_site_fract_y
_atom_site_fract_z
_atom_site_occupancy
Nd1 0.000 0.000 0.000 1
Dy1 0.000 0.000 0.500 1
Dy2 0.000 0.500 0.281 1
Tl1 0.000 0.287 0.129 1
```